## CuBiPdPt (PBE)

Data for an optimized crystal structure of CuBiPdPt.

The structure in POSCAR format:
```
CuBiPdPt
1.0
0.0000 3.2651 3.2651
3.2651 0.0000 3.2651
3.2651 3.2651 0.0000
Cu Bi Pt Pd
1 1 1 1
Cartesian
4.8977 4.8977 4.8977
0.0000 0.0000 0.0000
3.2651 3.2651 3.2651
1.6326 1.6326 1.6326
```

Computed properties:
total magnetization: 0.0 μB per formula unit
E: -4.795 eV per atom

## CuReBiPd (PBE)

Data for an optimized crystal structure of CuReBiPd.

The structure in POSCAR format:
```
CuReBiPd
1.0
0.0000 3.2364 3.2364
3.2364 0.0000 3.2364
3.2364 3.2364 0.0000
Cu Re Bi Pd
1 1 1 1
Cartesian
4.8546 4.8546 4.8546
1.6182 1.6182 1.6182
0.0000 0.0000 0.0000
3.2364 3.2364 3.2364
```

Computed properties:
total magnetization: 0.0 μB per formula unit
relative energy among the computed polymorphs: 0.000 eV/atom

## CuBiPdS3 (PBE)

Data for an optimized crystal structure of CuBiPdS3.

The structure in POSCAR format:
```
CuBiPdS3
1.0
5.0108 0.0000 0.0000
0.0000 7.7506 0.0000
0.0000 0.0000 12.7767
Cu Pd Bi S
4 4 4 12
Cartesian
2.3877 0.8933 7.1691
0.1177 6.8573 0.7808
2.6231 4.7686 11.9959
4.8932 2.9820 5.6076
4.9860 6.7060 9.5826
2.5302 1.0446 3.1943
0.0248 2.8307 9.5824
2.4806 4.9199 3.1940
2.1017 0.9069 11.1238
0.4037 6.8437 4.7355
2.9091 4.7822 8.0412
4.6071 2.9684 1.6528
3.6775 4.8854 5.2586
1.2156 4.7780 10.1734
1.3334 1.0101 1.1297
1.3433 4.9404 1.1008
3.8388 2.8652 11.6469
1.1621 2.8102 7.4891
1.2898 2.9727 3.7850
3.6675 1.0651 5.2875
3.7952 0.9027 8.9916
3.8488 6.6855 11.6758
1.1721 6.7406 7.5181
3.7211 6.8480 2.6033
```

Computed properties:
E: -4.571 eV per atom

What did the first record say?
## CuBiPdPt (PBE)

Data for an optimized crystal structure of CuBiPdPt.

The structure in POSCAR format:
```
CuBiPdPt
1.0
0.0000 3.2651 3.2651
3.2651 0.0000 3.2651
3.2651 3.2651 0.0000
Cu Bi Pt Pd
1 1 1 1
Cartesian
4.8977 4.8977 4.8977
0.0000 0.0000 0.0000
3.2651 3.2651 3.2651
1.6326 1.6326 1.6326
```

Computed properties:
total magnetization: 0.0 μB per formula unit
E: -4.795 eV per atom